1.
First-principles (PBE-GGA) data for a relaxed SrZnPb2 crystal, as listed in Alexandria via LeMat-Bulk.

ΔH_f (0 K): -27 meV per atom
SG: R-3m

Unit cell a=9.665 b=9.665 c=9.665 alpha=23.35 beta=23.35 gamma=23.35
Fractional coordinates of all 4 atoms:
Sr (0.000, 0.000, 0.000)
Zn (0.500, 0.500, 0.500)
Pb (0.235, 0.235, 0.235)
Pb (0.765, 0.765, 0.765)

2.
First-principles (PBE-GGA) data for a relaxed Cs3BiO crystal, as listed in Alexandria via LeMat-Bulk.

uncorrected formation energy: -0.518 eV/atom
SG: Pm-3m

Unit cell a=6.009 b=6.009 c=6.009 alpha=90.00 beta=90.00 gamma=90.00
Fractional coordinates of all 5 atoms:
Cs (0.000, 0.000, 0.500)
Cs (0.000, 0.500, 0.000)
Cs (0.500, 0.000, 0.000)
Bi (0.500, 0.500, 0.500)
O (0.000, 0.000, 0.000)

3.
First-principles (PBE-GGA) data for a relaxed Y2PuPaAs4 crystal, as listed in Alexandria via LeMat-Bulk.

ΔH_f (0 K): -1312 meV per atom
SG: P2/m

Unit cell a=7.127 b=4.127 c=7.130 alpha=90.00 beta=109.52 gamma=90.00
Fractional coordinates of all 8 atoms:
Y (0.000, 0.000, 0.000)
Y (0.000, 0.500, 0.500)
Pu (0.500, 0.000, 0.500)
Pa (0.500, 0.500, 0.000)
As (0.252, 0.000, 0.754)
As (0.253, 0.500, 0.248)
As (0.747, 0.500, 0.752)
As (0.748, 0.000, 0.246)

4.
First-principles (PBE-GGA) data for a relaxed BiS2ClO crystal, as listed in Alexandria via LeMat-Bulk.

uncorrected formation energy: 0.810 eV/atom
polymorph energy (0 for the lowest one): 416 meV per atom
SG: P4/mmm

Unit cell a=5.363 b=5.363 c=5.356 alpha=90.00 beta=90.00 gamma=90.00
Fractional coordinates of all 5 atoms:
Bi (0.000, 0.000, 0.000)
S (0.000, 0.500, 0.000)
S (0.500, 0.000, 0.000)
Cl (0.000, 0.000, 0.500)
O (0.500, 0.500, 0.500)

5.
First-principles (PBE-GGA) data for a relaxed KRbAg2I4 crystal, as listed in Alexandria via LeMat-Bulk.

uncorrected formation energy: -0.832 eV/atom
SG: I222

Unit cell a=7.700 b=7.700 c=7.700 alpha=112.47 beta=110.08 gamma=105.93
Fractional coordinates of all 8 atoms:
K (0.000, 0.000, 0.000)
Rb (0.500, 0.500, 0.000)
Ag (0.166, 0.666, 0.500)
Ag (0.834, 0.334, 0.500)
I (0.004, 0.073, 0.481)
I (0.408, 0.927, 0.931)
I (0.592, 0.523, 0.519)
I (0.996, 0.477, 0.069)

6.
First-principles (PBE-GGA) data for a relaxed Tl12Bi3Sb5 crystal, as listed in Alexandria via LeMat-Bulk.

uncorrected formation energy: 0.147 eV/atom
SG: Ia-3d

Unit cell a=15.850 b=15.850 c=15.850 alpha=109.47 beta=109.47 gamma=109.47
Fractional coordinates of all 80 atoms:
Tl (0.056, 0.227, 0.135)
Tl (0.056, 0.330, 0.921)
Tl (0.079, 0.635, 0.408)
Tl (0.079, 0.944, 0.670)
Tl (0.092, 0.727, 0.670)
Tl (0.092, 0.865, 0.421)
Tl (0.135, 0.056, 0.227)
Tl (0.135, 0.579, 0.908)
Tl (0.170, 0.227, 0.592)
Tl (0.170, 0.444, 0.579)
Tl (0.227, 0.135, 0.056)
Tl (0.227, 0.592, 0.170)
Tl (0.273, 0.330, 0.908)
Tl (0.273, 0.444, 0.365)
Tl (0.330, 0.908, 0.273)
Tl (0.330, 0.921, 0.056)
Tl (0.365, 0.273, 0.444)
Tl (0.365, 0.592, 0.921)
Tl (0.408, 0.079, 0.635)
Tl (0.408, 0.830, 0.773)
Tl (0.421, 0.092, 0.865)
Tl (0.421, 0.830, 0.556)
Tl (0.444, 0.365, 0.273)
Tl (0.444, 0.579, 0.170)
Tl (0.556, 0.421, 0.830)
Tl (0.556, 0.635, 0.727)
Tl (0.579, 0.170, 0.444)
Tl (0.579, 0.908, 0.135)
Tl (0.592, 0.170, 0.227)
Tl (0.592, 0.921, 0.365)
Tl (0.635, 0.408, 0.079)
Tl (0.635, 0.727, 0.556)
Tl (0.670, 0.079, 0.944)
Tl (0.670, 0.092, 0.727)
Tl (0.727, 0.556, 0.635)
Tl (0.727, 0.670, 0.092)
Tl (0.773, 0.408, 0.830)
Tl (0.773, 0.865, 0.944)
Tl (0.830, 0.556, 0.421)
Tl (0.830, 0.773, 0.408)
Tl (0.865, 0.421, 0.092)
Tl (0.865, 0.944, 0.773)
Tl (0.908, 0.135, 0.579)
Tl (0.908, 0.273, 0.330)
Tl (0.921, 0.056, 0.330)
Tl (0.921, 0.365, 0.592)
Tl (0.944, 0.670, 0.079)
Tl (0.944, 0.773, 0.865)
Bi (0.125, 0.250, 0.375)
Bi (0.125, 0.375, 0.750)
Bi (0.250, 0.375, 0.125)
Bi (0.250, 0.875, 0.625)
Bi (0.375, 0.125, 0.250)
Bi (0.375, 0.750, 0.125)
Bi (0.625, 0.250, 0.875)
Bi (0.625, 0.875, 0.750)
Bi (0.750, 0.125, 0.375)
Bi (0.750, 0.625, 0.875)
Bi (0.875, 0.625, 0.250)
Bi (0.875, 0.750, 0.625)
Sb (0.000, 0.000, 0.000)
Sb (0.000, 0.000, 0.500)
Sb (0.000, 0.500, 0.000)
Sb (0.000, 0.500, 0.500)
Sb (0.125, 0.750, 0.875)
Sb (0.125, 0.875, 0.250)
Sb (0.250, 0.125, 0.875)
Sb (0.250, 0.625, 0.375)
Sb (0.375, 0.250, 0.625)
Sb (0.375, 0.625, 0.750)
Sb (0.500, 0.000, 0.000)
Sb (0.500, 0.000, 0.500)
Sb (0.500, 0.500, 0.000)
Sb (0.500, 0.500, 0.500)
Sb (0.625, 0.375, 0.250)
Sb (0.625, 0.750, 0.375)
Sb (0.750, 0.375, 0.625)
Sb (0.750, 0.875, 0.125)
Sb (0.875, 0.125, 0.750)
Sb (0.875, 0.250, 0.125)

7.
First-principles (PBE-GGA) data for a relaxed LaNdSiCl crystal, as listed in Alexandria via LeMat-Bulk.

uncorrected formation energy: -1.219 eV/atom
SG: R3m

Unit cell a=7.427 b=7.427 c=7.427 alpha=33.65 beta=33.65 gamma=33.65
Fractional coordinates of all 4 atoms:
La (0.000, 0.000, 0.000)
Nd (0.485, 0.485, 0.485)
Si (0.744, 0.744, 0.744)
Cl (0.241, 0.241, 0.241)

8.
First-principles (PBE-GGA) data for a relaxed Sc4InCu2Ir crystal, as listed in Alexandria via LeMat-Bulk.

ΔH_f (0 K): -530 meV per atom
SG: R-3m

Unit cell a=8.188 b=8.188 c=8.188 alpha=33.48 beta=33.48 gamma=33.48
Fractional coordinates of all 8 atoms:
Sc (0.116, 0.116, 0.116)
Sc (0.368, 0.368, 0.368)
Sc (0.632, 0.632, 0.632)
Sc (0.884, 0.884, 0.884)
In (0.500, 0.500, 0.500)
Cu (0.243, 0.243, 0.243)
Cu (0.757, 0.757, 0.757)
Ir (0.000, 0.000, 0.000)